CdAu3, optimized geometry, DFT PBE; total magnetic moment = 0.000 Bohr magnetons per cell; D(E_F) = 1.45 states/eV per cell; DFT formation energy = -0.1206 eV per atom
1.0
4.2058 0.0000 0.0000
0.0000 4.2058 0.0000
-2.1029 -2.1029 4.2094
Au Cd
3 1
direct
0.2500 0.7500 0.5000
0.7500 0.2500 0.5000
0.5000 0.5000 0.0000
0.0000 0.0000 0.0000